A plane-wave DFT calculation with PBE was carried out for a relaxed InGa2HgRh crystal.

Calculated values
**V**: 121 Å³/f.u.
**Density**: 7.63 Mg/m³
**Formation energy from the elements**: -225 meV per atom
**SG**: P4/mmm, No. 123
**Total DFT energy (no corrections)**: -17.57 eV/f.u.

Lattice parameters (Å, degrees): 4.8198 4.8198 5.2263 90.00 90.00 90.00
Positions (direct):
Rh (0.0000, 0.0000, 0.0000)
Hg (0.5000, 0.5000, 0.5000)
Ga (0.0000, 0.5000, 0.0000)
Ga (0.5000, 0.0000, 0.0000)
In (0.0000, 0.0000, 0.5000)